Entry 1:
LaCdAg | SCAN | PBEsol geometry

total energy	-106.07	eV per formula unit
energy relative to the elements	-38	kJ per mole of atoms
V	71.8	Å³/f.u.
calculated density	8311	kg/m³
magnetization	0.06	μB per formula unit
Fermi-level density of states	1.3	states/eV/cell

a b c (Å): 3.411 4.929 4.929
angles (deg): 120.00 90.00 90.00
Positions (direct):
La 0.500 0.333 0.667
Ag 0.000 0.000 0.000
Cd 0.000 0.667 0.333


Entry 2:
LiS3N | SCAN | PBEsol geometry

total energy	-32.73	eV per formula unit
V	80.1	Å³/f.u.
calculated density	2428	kg/m³
magnetization	2.68	μB per formula unit
Fermi-level density of states	3.3	states/eV/cell

a b c (Å): 4.311 4.311 4.311
angles (deg): 90.00 90.00 90.00
Site moments in Bohr magnetons follow the coordinates.
Positions (direct):
S 0.000 0.500 0.000  0.01
S 0.000 0.000 0.500  0.01
S 0.500 0.000 0.000  0.01
Li 0.000 0.000 0.000  0.01
N 0.500 0.500 0.500  1.80


Entry 3:
Sc2ZnIr | SCAN | PBEsol geometry

total energy	-115.75	eV per formula unit
excess energy over the best structure of this formula in the dataset	0.230	eV/atom
energy relative to the elements	-64	kJ per mole of atoms
V	64.9	Å³/f.u.
calculated density	8893	kg/m³
magnetization	0.00	μB per formula unit
Fermi-level density of states	2.3	states/eV/cell

a b c (Å): 4.296 4.296 4.647
angles (deg): 117.53 117.53 90.00
Positions (direct):
Ir 0.250 0.750 0.500
Sc 0.000 0.000 0.000
Sc 0.750 0.250 0.500
Zn 0.500 0.500 0.000


Entry 4:
CdNi3Sb | SCAN | PBEsol geometry

total energy	-110.03	eV per formula unit
V	95.0	Å³/f.u.
calculated density	7174	kg/m³
magnetization	0.01	μB per formula unit
Fermi-level density of states	6.7	states/eV/cell

a b c (Å): 4.562 4.562 4.562
angles (deg): 90.00 90.00 90.00
Positions (direct):
Sb 0.500 0.500 0.500
Ni 0.000 0.500 0.000
Ni 0.000 0.000 0.500
Ni 0.500 0.000 0.000
Cd 0.000 0.000 0.000


Entry 5:
MnBe2Hg | SCAN | PBEsol geometry

total energy	-94.60	eV per formula unit
energy relative to the elements	13	kJ per mole of atoms
V	49.6	Å³/f.u.
calculated density	9158	kg/m³
magnetization	3.30	μB per formula unit
Fermi-level density of states	1.5	states/eV/cell

a b c (Å): 3.575 3.575 4.632
angles (deg): 112.70 112.70 90.00
Site moments in Bohr magnetons follow the coordinates.
Positions (direct):
Be 0.000 0.000 0.000  -0.07
Be 0.750 0.250 0.500  -0.06
Mn 0.250 0.750 0.500  3.46
Hg 0.500 0.500 0.000  -0.02


Entry 6:
TcBi3Os | SCAN | PBEsol geometry

total energy	-335.29	eV per formula unit
energy relative to the elements	143	kJ per mole of atoms
V	140.6	Å³/f.u.
calculated density	10806	kg/m³
magnetization	3.17	μB per formula unit
Fermi-level density of states	5.6	states/eV/cell

a b c (Å): 5.200 5.200 5.200
angles (deg): 90.00 90.00 90.00
Site moments in Bohr magnetons follow the coordinates.
Positions (direct):
Os 0.000 0.000 0.000  -0.23
Bi 0.000 0.500 0.000  -0.12
Bi 0.000 0.000 0.500  -0.12
Bi 0.500 0.000 0.000  -0.12
Tc 0.500 0.500 0.500  3.59


Entry 7:
CuRe2SnAu | SCAN | PBEsol geometry

total energy	-253.92	eV per formula unit
energy relative to the elements	165	kJ per mole of atoms
V	92.5	Å³/f.u.
calculated density	13491	kg/m³
magnetization	0.00	μB per formula unit
Fermi-level density of states	4.8	states/eV/cell

a b c (Å): 4.503 4.503 4.562
angles (deg): 90.00 90.00 90.00
Positions (direct):
Re 0.000 0.500 0.000
Re 0.500 0.000 0.000
Au 0.000 0.000 0.500
Sn 0.500 0.500 0.500
Cu 0.000 0.000 0.000


Entry 8:
Zr5Al | SCAN | PBEsol geometry

total energy	-161.94	eV per formula unit
energy relative to the elements	-11	kJ per mole of atoms
V	127.1	Å³/f.u.
calculated density	6313	kg/m³
magnetization	0.00	μB per formula unit
Fermi-level density of states	5.1	states/eV/cell

a b c (Å): 3.116 5.883 7.455
angles (deg): 104.81 90.00 105.36
Positions (direct):
Al 0.992 0.984 0.993
Zr 0.670 0.340 0.323
Zr 0.337 0.674 0.680
Zr 0.397 0.794 0.272
Zr 0.060 0.119 0.615
Zr 0.711 0.422 0.950